A relaxed AlSb2PN crystal. Source: Alexandria, functional GGA-PBE.

POSCAR file:
```
AlSb2PN
1.0
5.521 0.000 0.000
0.000 5.521 0.000
0.000 0.000 3.289
Al N Sb P
1 1 2 1
Direct
0.500 0.500 0.500
0.000 0.000 0.500
0.500 0.000 0.000
0.000 0.500 0.000
0.000 0.000 0.000
```

Results
Mass density in kg/m³: 5226
Raw total energy in eV/cell: -23.08

***

A relaxed AlPSe2N crystal. Source: Alexandria, functional GGA-PBE.

POSCAR file:
```
AlPSe2N
1.0
-2.392 2.358 -3.706
1.920 -3.234 -3.297
-2.622 -1.990 0.425
Al P Se N
1 1 2 1
Direct
0.500 0.500 0.500
0.000 0.000 0.000
0.000 0.500 0.000
0.500 0.000 0.000
0.000 0.000 0.500
```

Results
Mass density in kg/m³: 4597
Raw total energy in eV/cell: -22.29
E above lowest polymorph in meV/atom: 0

***

A relaxed AlPSe2N crystal. Source: Alexandria, functional GGA-PBE.

POSCAR file:
```
AlPSe2N
1.0
-4.575 -0.556 2.059
2.069 -2.341 3.965
0.360 3.081 1.631
Se P N Al
2 1 1 1
Direct
0.000 0.500 0.000
0.500 0.000 0.000
0.500 0.500 0.500
0.000 0.000 0.500
0.000 0.000 0.000
```

Results
Mass density in kg/m³: 4275
Raw total energy in eV/cell: -21.52
E above lowest polymorph in meV/atom: 153

***

A relaxed AlTePN2 crystal. Source: Alexandria, functional GGA-PBE.

POSCAR file:
```
AlTePN2
1.0
-0.373 -3.457 -0.924
2.259 -0.947 2.635
-5.233 -0.579 4.277
N Te Al P
2 1 1 1
Direct
0.500 0.000 0.000
0.000 0.500 0.000
0.000 0.000 0.500
0.500 0.500 0.500
0.000 0.000 0.000
```

Results
Mass density in kg/m³: 4039
Raw total energy in eV/cell: -24.05
E above lowest polymorph in meV/atom: 24

***

A relaxed AlTePN2 crystal. Source: Alexandria, functional GGA-PBE.

POSCAR file:
```
AlTePN2
1.0
3.702 0.000 0.000
0.000 3.702 0.000
0.000 0.000 7.482
Al N P Te
1 2 1 1
Direct
0.000 0.000 0.000
0.000 0.500 0.000
0.500 0.000 0.000
0.500 0.500 0.500
0.000 0.000 0.500
```

Results
Mass density in kg/m³: 3459
Raw total energy in eV/cell: -24.17
E above lowest polymorph in meV/atom: 0

***

A relaxed AlTeP2N crystal. Source: Alexandria, functional GGA-PBE.

POSCAR file:
```
AlTeP2N
1.0
-0.111 4.440 -2.475
-3.646 -0.782 -1.240
-1.894 2.261 4.141
Te P N Al
1 2 1 1
Direct
0.000 0.000 0.000
0.500 0.000 0.000
0.000 0.000 0.500
0.000 0.500 0.000
0.500 0.500 0.500
```

Results
Mass density in kg/m³: 3769
Raw total energy in eV/cell: -19.37

***

A relaxed AlTlPN2 crystal. Source: Alexandria, functional GGA-PBE.

POSCAR file:
```
AlTlPN2
1.0
-0.734 0.626 -4.048
-0.132 -5.839 -0.879
-4.095 -0.019 0.739
Tl N Al P
1 2 1 1
Direct
0.000 0.000 0.000
0.500 0.000 0.000
0.000 0.000 0.500
0.000 0.500 0.000
0.500 0.500 0.500
```

Results
Mass density in kg/m³: 4715
Raw total energy in eV/cell: -17.45

***

A relaxed Al2VPN crystal. Source: Alexandria, functional GGA-PBE.

POSCAR file:
```
Al2VPN
1.0
4.953 0.000 0.000
0.000 3.613 0.000
0.000 0.000 4.953
V P Al N
1 1 2 1
Direct
0.000 0.000 0.000
0.500 0.500 0.500
0.500 0.000 0.000
0.000 0.000 0.500
0.000 0.500 0.000
```

Results
Mass density in kg/m³: 2808
Raw total energy in eV/cell: -27.14

***

A relaxed YAlPN2 crystal. Source: Alexandria, functional GGA-PBE.

POSCAR file:
```
YAlPN2
1.0
-1.213 1.310 -3.633
1.675 -3.576 -1.849
-3.535 -1.910 0.491
P Y Al N
1 1 1 2
Direct
0.000 0.000 0.000
0.500 0.500 0.500
0.000 0.500 0.000
0.000 0.000 0.500
0.500 0.000 0.000
```

Results
Mass density in kg/m³: 4065
Raw total energy in eV/cell: -28.44

***

A relaxed ZrAlP2N6 crystal. Source: Alexandria, functional GGA-PBE.

POSCAR file:
```
ZrAlP2N6
1.0
-3.261 -4.205 -0.753
3.515 -5.613 1.548
-2.930 -1.407 5.974
N Zr Al P
12 2 2 4
Direct
0.641 0.165 0.613
0.141 0.613 0.165
0.359 0.835 0.387
0.809 0.026 0.219
0.191 0.974 0.781
0.822 0.400 0.297
0.691 0.781 0.974
0.322 0.297 0.400
0.678 0.703 0.600
0.178 0.600 0.703
0.309 0.219 0.026
0.859 0.387 0.835
0.250 0.888 0.112
0.750 0.112 0.888
0.750 0.724 0.276
0.250 0.276 0.724
0.660 0.215 0.370
0.160 0.370 0.215
0.840 0.630 0.785
0.340 0.785 0.630
```

Results
Mass density in kg/m³: 3887
Raw total energy in eV/cell: -160.17

***

A relaxed Pa2AlN crystal. Source: Alexandria, functional GGA-PBE.

POSCAR file:
```
Pa2AlN
1.0
-2.692 -1.468 -1.253
0.269 -1.966 -2.652
0.404 -7.482 3.518
Pa Al N
2 1 1
Direct
0.771 0.771 0.688
0.229 0.229 0.312
0.000 0.000 0.000
0.500 0.500 0.500
```

Results
Mass density in kg/m³: 10918
Raw total energy in eV/cell: -34.07

***

A relaxed PaAlN crystal. Source: Alexandria, functional GGA-PBE.

POSCAR file:
```
PaAlN
1.0
3.060 0.000 0.000
-1.530 2.955 0.000
0.000 0.000 10.855
N Al Pa
2 2 2
Direct
0.169 0.338 0.858
0.169 0.338 0.142
0.715 0.430 0.261
0.715 0.430 0.739
0.501 0.001 0.000
0.398 0.795 0.500
```

Results
Mass density in kg/m³: 9203
Raw total energy in eV/cell: -46.64

***

A relaxed Pa6Al2N crystal. Source: Alexandria, functional GGA-PBE.

POSCAR file:
```
Pa6Al2N
1.0
6.279 0.000 -0.169
0.000 6.281 0.000
0.264 0.000 9.774
Pa Al N
12 4 2
Direct
0.500 0.500 0.238
0.000 0.000 0.262
0.230 0.770 0.000
0.270 0.730 0.500
0.270 0.270 0.500
0.230 0.230 0.000
0.730 0.270 0.500
0.770 0.230 0.000
0.500 0.500 0.762
0.770 0.770 0.000
0.730 0.730 0.500
0.000 0.000 0.738
0.500 0.000 0.750
0.000 0.500 0.750
0.000 0.500 0.250
0.500 0.000 0.250
0.000 0.000 0.500
0.500 0.500 0.000
```

Results
Mass density in kg/m³: 12519
Raw total energy in eV/cell: -151.98

***

A relaxed Pa3Al5N12 crystal. Source: Alexandria, functional GGA-PBE.

POSCAR file:
```
Pa3Al5N12
1.0
10.681 0.000 0.000
-3.560 10.070 0.000
-3.560 -5.035 8.721
N Pa Al
48 12 20
Direct
0.626 0.032 0.210
0.083 0.177 0.210
0.823 0.917 0.290
0.126 0.417 0.094
0.032 0.626 0.710
0.968 0.594 0.177
0.406 0.374 0.583
0.374 0.968 0.790
0.094 0.917 0.126
0.083 0.906 0.374
0.468 0.677 0.094
0.323 0.532 0.406
0.177 0.094 0.968
0.906 0.823 0.532
0.177 0.083 0.710
0.823 0.906 0.032
0.532 0.323 0.906
0.790 0.323 0.917
0.594 0.968 0.677
0.968 0.374 0.290
0.710 0.126 0.032
0.417 0.126 0.594
0.210 0.532 0.626
0.874 0.583 0.906
0.094 0.177 0.468
0.790 0.468 0.374
0.210 0.677 0.083
0.532 0.210 0.126
0.374 0.406 0.083
0.874 0.290 0.468
0.032 0.406 0.823
0.417 0.290 0.323
0.323 0.790 0.417
0.406 0.032 0.323
0.583 0.710 0.677
0.677 0.210 0.583
0.906 0.083 0.874
0.290 0.874 0.968
0.710 0.583 0.177
0.594 0.626 0.417
0.126 0.710 0.532
0.290 0.417 0.823
0.583 0.874 0.406
0.626 0.594 0.917
0.917 0.094 0.626
0.677 0.468 0.594
0.917 0.823 0.790
0.468 0.790 0.874
0.625 0.250 0.375
0.625 0.375 0.750
0.875 0.125 0.250
0.375 0.750 0.625
0.125 0.250 0.875
0.250 0.125 0.375
0.125 0.875 0.750
0.375 0.625 0.250
0.750 0.875 0.625
0.750 0.375 0.125
0.875 0.750 0.125
0.250 0.625 0.875
0.625 0.750 0.875
0.500 0.500 0.500
0.250 0.375 0.625
0.375 0.125 0.750
0.500 0.000 0.000
0.500 0.500 0.000
0.750 0.625 0.375
0.000 0.000 0.000
0.000 0.000 0.500
0.875 0.625 0.750
0.500 0.000 0.500
0.125 0.375 0.250
0.250 0.875 0.125
0.000 0.500 0.000
0.875 0.250 0.625
0.750 0.125 0.875
0.625 0.875 0.250
0.375 0.250 0.125
0.125 0.750 0.375
0.000 0.500 0.500
```

Results
Mass density in kg/m³: 7053
Raw total energy in eV/cell: -654.50

***

A relaxed Pu3Pa3AlN8 crystal. Source: Alexandria, functional GGA-PBE.

POSCAR file:
```
Pu3Pa3AlN8
1.0
-2.303 -4.823 4.235
5.360 3.822 1.777
-6.244 2.781 -0.229
N Pu Pa Al
8 3 3 1
Direct
0.224 0.991 0.715
0.747 0.494 0.741
0.253 0.506 0.259
0.776 0.551 0.284
0.767 0.991 0.715
0.233 0.009 0.285
0.224 0.449 0.716
0.776 0.009 0.285
0.000 0.000 0.000
0.500 0.500 0.000
0.000 0.500 0.000
0.500 0.500 0.500
0.500 0.000 0.500
0.000 0.500 0.500
0.000 0.000 0.500
```

Results
Mass density in kg/m³: 11534
Raw total energy in eV/cell: -159.94

***

A relaxed RbPaAlN3 crystal. Source: Alexandria, functional GGA-PBE.

POSCAR file:
```
RbPaAlN3
1.0
-1.652 -1.687 2.670
5.909 2.319 5.119
-5.882 6.016 0.161
N Al Rb Pa
6 2 2 2
Direct
0.250 0.164 0.835
0.750 0.480 0.126
0.750 0.145 0.546
0.750 0.836 0.165
0.250 0.520 0.874
0.250 0.855 0.454
0.250 0.083 0.603
0.750 0.917 0.397
0.250 0.200 0.221
0.750 0.800 0.779
0.250 0.660 0.152
0.750 0.340 0.848
```

Results
Mass density in kg/m³: 5471
Raw total energy in eV/cell: -91.79

***

A relaxed Rb4Pa3AlN8 crystal. Source: Alexandria, functional GGA-PBE.

POSCAR file:
```
Rb4Pa3AlN8
1.0
6.757 0.000 0.000
0.000 7.806 0.508
-3.378 -3.512 5.241
N Al Rb Pa
8 1 4 3
Direct
0.793 0.353 0.056
0.207 0.647 0.944
0.263 0.353 0.056
0.737 0.647 0.944
0.720 0.661 0.440
0.280 0.339 0.560
0.751 0.321 0.503
0.249 0.679 0.497
0.000 0.500 0.000
0.000 0.000 0.500
0.500 0.000 0.000
0.500 0.000 0.500
0.000 0.000 0.000
0.500 0.500 0.500
0.000 0.500 0.500
0.500 0.500 0.000
```

Results
Mass density in kg/m³: 6758
Raw total energy in eV/cell: -114.24

***

A relaxed ScPa2AlN5 crystal. Source: Alexandria, functional GGA-PBE.

POSCAR file:
```
ScPa2AlN5
1.0
-1.395 -2.978 -0.537
6.725 -1.409 0.681
-1.242 -1.187 9.809
N Sc Pa Al
10 2 4 2
Direct
0.368 0.736 0.016
0.697 0.395 0.849
0.632 0.264 0.516
0.303 0.605 0.349
0.507 0.015 0.288
0.951 0.902 0.551
0.289 0.577 0.657
0.493 0.985 0.788
0.049 0.098 0.051
0.711 0.423 0.157
0.208 0.416 0.000
0.792 0.584 0.500
0.123 0.246 0.693
0.865 0.730 0.791
0.135 0.270 0.291
0.877 0.754 0.193
0.513 0.026 0.980
0.487 0.974 0.480
```

Results
Mass density in kg/m³: 9024
Raw total energy in eV/cell: -168.51

***

A relaxed Sm3Pa3AlN8 crystal. Source: Alexandria, functional GGA-PBE.

POSCAR file:
```
Sm3Pa3AlN8
1.0
-4.630 5.044 0.506
-0.511 -5.544 4.016
5.124 4.591 1.122
N Pa Al Sm
8 3 1 3
Direct
0.256 0.512 0.268
0.247 0.022 0.298
0.776 0.551 0.298
0.753 0.978 0.702
0.744 0.488 0.732
0.225 0.978 0.702
0.775 0.022 0.298
0.224 0.449 0.702
0.500 0.000 0.500
0.000 0.500 0.500
0.500 0.500 0.500
0.000 0.000 0.500
0.000 0.500 0.000
0.000 0.000 0.000
0.500 0.500 0.000
```

Results
Mass density in kg/m³: 9104
Raw total energy in eV/cell: -133.06